(1)
# NdSmP2O8

A relaxed structure of NdSmP2O8 (PBE, Alexandria).

```
data_NdSmP2O8
_chemical_formula_sum 'Nd1 Sm1 P2 O8'
_symmetry_space_group_name_H-M 'P 1'
_symmetry_Int_Tables_number 1
_cell_length_a 5.306
_cell_length_b 5.306
_cell_length_c 7.277
_cell_angle_alpha 90.00
_cell_angle_beta 90.00
_cell_angle_gamma 120.00
loop_
_symmetry_equiv_pos_as_xyz
'x,y,z'
loop_
_atom_site_label
_atom_site_type_symbol
_atom_site_fract_x
_atom_site_fract_y
_atom_site_fract_z
Nd1 Nd 0.000 0.000 0.000
Sm1 Sm 0.000 0.000 0.500
P1 P 0.333 0.667 0.802
P2 P 0.667 0.333 0.198
O1 O 0.174 0.349 0.728
O2 O 0.174 0.826 0.728
O3 O 0.333 0.667 0.012
O4 O 0.349 0.174 0.272
O5 O 0.651 0.826 0.728
O6 O 0.667 0.333 0.988
O7 O 0.826 0.174 0.272
O8 O 0.826 0.651 0.272
```

Summary:
Symmetry: P-3m1, No. 164
E in eV for the cell shown: -94.38
Size of the total moment in μB/f.u.: 0.0


(2)
# YMg3Mn

A relaxed structure of YMg3Mn (PBE, Alexandria).

```
data_YMg3Mn
_chemical_formula_sum 'Y1 Mg3 Mn1'
_symmetry_space_group_name_H-M 'P 1'
_symmetry_Int_Tables_number 1
_cell_length_a 4.984
_cell_length_b 4.984
_cell_length_c 4.984
_cell_angle_alpha 90.00
_cell_angle_beta 90.00
_cell_angle_gamma 90.00
loop_
_symmetry_equiv_pos_as_xyz
'x,y,z'
loop_
_atom_site_label
_atom_site_type_symbol
_atom_site_fract_x
_atom_site_fract_y
_atom_site_fract_z
Y1 Y 0.000 0.000 0.000
Mg1 Mg 0.000 0.500 0.500
Mg2 Mg 0.500 0.000 0.500
Mg3 Mg 0.500 0.500 0.000
Mn1 Mn 0.500 0.500 0.500
```

Summary:
Symmetry: Pm-3m, No. 221
E in eV for the cell shown: -18.38
Size of the total moment in μB/f.u.: 2.8
ΔE to the lowest computed polymorph in meV per atom: 0
ΔE_f in eV per atom: 0.4076